# PBE H3RhW, relaxed
data_H3RhW
_chemical_formula_sum 'H3 Rh1 W1'
_space_group_name_H-M_alt 'P m -3 m'
_space_group_IT_number 221
_space_group_name_Hall '-P 4 2 3'
_cell_length_a 3.473
_cell_length_b 3.473
_cell_length_c 3.473
_cell_angle_alpha 90.00
_cell_angle_beta 90.00
_cell_angle_gamma 90.00
loop_
_atom_site_label
_atom_site_type_symbol
_atom_site_fract_x
_atom_site_fract_y
_atom_site_fract_z
H1 H 0.000 0.000 0.500
Rh1 Rh 0.500 0.500 0.500
W1 W 0.000 0.000 0.000
# * uncorrected energy: -5.548 eV per atom